--- one ---
Compound: BaTl3Os
Source: the Alexandria database
Functional: PBE
Structure: relaxed

Space group: No. 221

a = 6.3540 Å, b = 6.3540 Å, c = 6.3540 Å
α = 90.00°, β = 90.00°, γ = 90.00°
Last column: magnetic moment on the atom in μB.
Atoms (fractional coordinates):
Os 0.5000 0.5000 0.5000  2.87
Ba 0.0000 0.0000 0.0000  -0.19
Tl 0.0000 0.0000 0.5000  -0.06
Tl 0.5000 0.0000 0.0000  -0.11
Tl 0.0000 0.5000 0.0000  -0.10

--- two ---
Compound: BaTl3Os
Source: the Alexandria database
Functional: PBE
Structure: relaxed

Space group: No. 221

a = 5.3436 Å, b = 5.3436 Å, c = 5.3436 Å
α = 90.00°, β = 90.00°, γ = 90.00°
Atoms (fractional coordinates):
Tl 0.0000 0.5000 0.0000
Tl 0.0000 0.0000 0.5000
Os 0.0000 0.0000 0.0000
Ba 0.5000 0.5000 0.5000
Tl 0.5000 0.0000 0.0000

Stability verdict: two, ahead by 1841 meV/atom

--- one ---
Compound: Ba2Tl2Os
Source: the Alexandria database
Functional: PBE
Structure: relaxed

Space group: No. 139

a = 4.1307 Å, b = 4.1307 Å, c = 10.8777 Å
α = 79.05°, β = 79.05°, γ = 90.00°
Atoms (fractional coordinates):
Tl 0.2500 0.7500 0.5000
Tl 0.7500 0.2500 0.5000
Ba 0.5841 0.5841 0.8318
Os 0.0000 0.0000 0.0000
Ba 0.4159 0.4159 0.1682

--- two ---
Compound: Ba2Tl2Os
Source: the Alexandria database
Functional: PBE
Structure: relaxed

Space group: No. 127

a = 8.1880 Å, b = 8.1880 Å, c = 5.6261 Å
α = 90.00°, β = 90.00°, γ = 90.00°
Last column: magnetic moment on the atom in μB.
Atoms (fractional coordinates):
Tl 0.6455 0.8545 0.5000  -0.02
Ba 0.8294 0.6706 0.0000  -0.02
Tl 0.8545 0.3545 0.5000  -0.01
Ba 0.3294 0.8294 0.0000  -0.01
Os 0.5000 0.5000 0.0000  1.24
Tl 0.3545 0.1455 0.5000  -0.02
Ba 0.1706 0.3294 0.0000  -0.02
Os 0.0000 0.0000 0.0000  1.24
Tl 0.1455 0.6455 0.5000  -0.01
Ba 0.6706 0.1706 0.0000  -0.01

Stability verdict: one, ahead by 178 meV/atom

--- one ---
Compound: BaTlOs3
Source: the Alexandria database
Functional: PBE
Structure: relaxed

Space group: No. 221

a = 5.1189 Å, b = 5.1189 Å, c = 5.1189 Å
α = 90.00°, β = 90.00°, γ = 90.00°
Last column: magnetic moment on the atom in μB.
Atoms (fractional coordinates):
Ba 0.5000 0.5000 0.5000  -0.01
Tl 0.0000 0.0000 0.0000  -0.04
Os 0.0000 0.5000 0.0000  1.67
Os 0.0000 0.0000 0.5000  1.76
Os 0.5000 0.0000 0.0000  1.12

--- two ---
Compound: BaTlOs3
Source: the Alexandria database
Functional: PBE
Structure: relaxed

Space group: No. 221

a = 5.1897 Å, b = 5.1897 Å, c = 5.1897 Å
α = 90.00°, β = 90.00°, γ = 90.00°
Last column: magnetic moment on the atom in μB.
Atoms (fractional coordinates):
Tl 0.5000 0.5000 0.5000  0.04
Os 0.5000 0.0000 0.0000  1.59
Os 0.0000 0.0000 0.5000  1.55
Ba 0.0000 0.0000 0.0000  -0.09
Os 0.0000 0.5000 0.0000  1.58

Stability verdict: one, ahead by 1060 meV/atom

--- one ---
Compound: BaV3Os
Source: the Alexandria database
Functional: PBE
Structure: relaxed

Space group: No. 221

a = 4.6614 Å, b = 4.6614 Å, c = 4.6614 Å
α = 90.00°, β = 90.00°, γ = 90.00°
Last column: magnetic moment on the atom in μB.
Atoms (fractional coordinates):
V 0.0000 0.0000 0.5000  0.23
Os 0.5000 0.5000 0.5000  -0.67
V 0.0000 0.5000 0.0000  0.23
Ba 0.0000 0.0000 0.0000  -0.02
V 0.5000 0.0000 0.0000  0.23

--- two ---
Compound: BaV3Os
Source: the Alexandria database
Functional: PBE
Structure: relaxed

Space group: No. 221

a = 4.8820 Å, b = 4.8820 Å, c = 4.8820 Å
α = 90.00°, β = 90.00°, γ = 90.00°
Last column: magnetic moment on the atom in μB.
Atoms (fractional coordinates):
Os 0.0000 0.0000 0.0000  -0.40
V 0.5000 0.0000 0.0000  1.83
Ba 0.5000 0.5000 0.5000  0.11
V 0.0000 0.0000 0.5000  1.83
V 0.0000 0.5000 0.0000  1.83

Stability verdict: two, ahead by 2078 meV/atom